Material: Na2Ho2CrO6
Method: DFT, GGA+U
State: relaxed

Cell: 5.629 5.629 5.865 Å, 97.67 97.67 119.28°
Atoms (fractional coordinates):
Na (0.854, 0.146, 0.000)
Na (0.146, 0.854, 0.000)
Ho (0.664, 0.336, 0.500)
Ho (0.336, 0.664, 0.500)
O (0.955, 0.654, 0.312)
O (0.346, 0.045, 0.688)
O (0.045, 0.346, 0.688)
O (0.654, 0.955, 0.312)
O (0.756, 0.756, 0.695)
O (0.244, 0.244, 0.305)
Cr (0.000, 0.000, 0.500)

Calculated values
The crystal system is monoclinic. The calculation puts the total energy at -6.90 eV per atom.